This record from Alexandria describes crystalline ErCoCu at its relaxed geometry. The functional is PBE.

The space group is C2/m (No. 12) and the conventional cell measures 9.237, 5.173 and 4.841 Å, with angles of 90.00, 120.57 and 90.00 degrees. The asymmetric unit holds Er at (0.130, 0.000, 0.378), Co at (0.013, 0.500, 0.264) and Cu at (0.250, 0.250, 0.000).

The calculation puts the density of states at the Fermi level at 0.5149 states/eV/atom. The calculation puts the formation energy at 0.03 eV/atom.